#w
DFT (GGA-PBE) results for a relaxed RbSb crystal.

total magnetization: 0.7 μB/f.u.
space group: No. 217
crystal system: cubic

Lattice parameters (Å, degrees): 10.858 10.858 10.858 90.00 90.00 90.00
Element x y z (fractional)
Rb 0.206 0.206 0.206
Rb 0.706 0.706 0.706
Rb 0.794 0.206 0.794
Rb 0.706 0.294 0.294
Rb 0.794 0.794 0.206
Rb 0.294 0.706 0.294
Rb 0.206 0.794 0.794
Rb 0.294 0.294 0.706
Sb 0.100 0.100 0.900
Sb 0.400 0.400 0.400
Sb 0.600 0.400 0.600
Sb 0.100 0.900 0.100
Sb 0.600 0.600 0.400
Sb 0.400 0.600 0.600
Sb 0.900 0.100 0.100
Sb 0.900 0.900 0.900

=====

#x
DFT (GGA-PBE) results for a relaxed RbSb crystal.

total magnetization: 2.0 μB/f.u.
space group: No. 225
crystal system: cubic

Lattice parameters (Å, degrees): 5.362 5.362 5.362 60.00 60.00 60.00
Element x y z (fractional)
Rb 0.000 0.000 0.000
Sb 0.500 0.500 0.500

=====

#y
DFT (GGA-PBE) results for a relaxed RbSb crystal.

total magnetization: 0.0 μB/f.u.
space group: No. 57
crystal system: orthorhombic

Lattice parameters (Å, degrees): 6.972 6.957 13.831 90.00 90.00 90.00
Element x y z (fractional)
Rb 0.250 0.166 0.003
Rb 0.250 0.834 0.503
Rb 0.250 0.628 0.832
Rb 0.750 0.628 0.668
Rb 0.750 0.166 0.497
Rb 0.250 0.372 0.332
Rb 0.750 0.372 0.168
Rb 0.750 0.834 0.997
Sb 0.250 0.662 0.110
Sb 0.000 0.126 0.750
Sb 0.000 0.874 0.250
Sb 0.500 0.874 0.250
Sb 0.500 0.126 0.750
Sb 0.750 0.338 0.890
Sb 0.750 0.662 0.390
Sb 0.250 0.338 0.610

=====

Stability ranking, top entry: #y; the second entry is 365 meV per atom less favorable.